A plane-wave DFT calculation with PBE was carried out for TiV3Tc after structural relaxation.

**Spin magnetization**: 1.69 μB per cell
**Relative energy among the computed polymorphs**: 1003 meV per atom
**Formation energy**: 0.985 eV/atom
**Raw total energy**: -40.69 eV per cell

Unit cell a=4.5071 b=4.5071 c=4.5071 alpha=90.00 beta=90.00 gamma=90.00
Site moments in Bohr magnetons follow the coordinates.
Fractional positions:
Ti: 0.5000 0.5000 0.5000  0.32
Tc: 0.0000 0.0000 0.0000  -0.08
V: 0.0000 0.0000 0.5000  0.41
V: 0.5000 0.0000 0.0000  0.41
V: 0.0000 0.5000 0.0000  0.41

A plane-wave DFT calculation with PBE was carried out for TiV3Tc after structural relaxation.

**Spin magnetization**: 0.00 μB per cell
**Relative energy among the computed polymorphs**: 130 meV per atom
**Formation energy**: 0.111 eV/atom
**Raw total energy**: -180.25 eV per cell

Unit cell a=5.0033 b=7.1957 c=8.3949 alpha=90.00 beta=90.00 gamma=90.00
Fractional positions:
V: 0.5752 0.6581 0.4465
V: 0.2275 0.5477 0.2500
V: 0.4248 0.3419 0.9465
V: 0.4248 0.3419 0.5535
V: 0.7725 0.4523 0.7500
V: 0.2725 0.0477 0.7500
V: 0.9248 0.1581 0.9465
V: 0.0752 0.8419 0.0535
V: 0.7275 0.9523 0.2500
V: 0.5752 0.6581 0.0535
V: 0.0752 0.8419 0.4465
V: 0.9248 0.1581 0.5535
Ti: 0.2042 0.1689 0.2500
Ti: 0.7958 0.8311 0.7500
Ti: 0.2958 0.6689 0.7500
Ti: 0.7042 0.3311 0.2500
Tc: 0.5000 0.0000 0.0000
Tc: 0.5000 0.0000 0.5000
Tc: 0.0000 0.5000 0.5000
Tc: 0.0000 0.5000 0.0000

A plane-wave DFT calculation with PBE was carried out for TiV5Tc6 after structural relaxation.

**Spin magnetization**: 0.00 μB per cell
**Formation energy**: -0.401 eV/atom
**Raw total energy**: -120.49 eV per cell

Unit cell a=4.2985 b=6.0788 c=6.7926 alpha=90.00 beta=108.42 gamma=90.00
Fractional positions:
V: 0.6671 0.5000 0.3343
V: 0.3333 0.0000 0.6665
V: 0.6667 0.0000 0.3335
V: 0.0000 0.5000 0.0000
V: 0.3329 0.5000 0.6657
Tc: 0.5000 0.7466 0.0000
Tc: 0.1683 0.7483 0.3367
Tc: 0.8317 0.7482 0.6633
Tc: 0.1683 0.2518 0.3367
Tc: 0.5000 0.2534 0.0000
Tc: 0.8317 0.2517 0.6633
Ti: 0.0000 0.0000 0.0000

A plane-wave DFT calculation with PBE was carried out for Ti2VTc after structural relaxation.

**Spin magnetization**: 2.07 μB per cell
**Relative energy among the computed polymorphs**: 3 meV per atom
**Formation energy**: -0.208 eV/atom
**Raw total energy**: -36.11 eV per cell

Unit cell a=3.1287 b=4.4084 c=4.4084 alpha=90.00 beta=90.00 gamma=90.00
Site moments in Bohr magnetons follow the coordinates.
Fractional positions:
V: 0.5000 0.5000 0.5000  1.36
Ti: 0.0000 0.0000 0.5000  0.20
Ti: 0.0000 0.5000 0.0000  0.20
Tc: 0.5000 0.0000 0.0000  -0.04